A plane-wave DFT calculation with GGA-PBE was carried out for a relaxed structure of KZn2Co.

## Properties
calculated formation energy	2.91	eV/f.u.
D(E_F)	0.574	states/eV per atom
distance to the lowest polymorph of the same formula	449	meV per atom

Cell: 5.2687 2.7216 5.8858 Å, 90.00 113.57 90.00°
Space group P2/m (No. 10)
Asymmetric unit:
1 K 0.0000 0.0000 0.0000 [1 per cell]
2 Zn 0.0000 0.0000 0.5000 [1 per cell]
3 Zn 0.5000 0.5000 0.0000 [1 per cell]
4 Co 0.5000 0.5000 0.5000 [1 per cell]